This record from Alexandria via LeMat-Bulk describes a relaxed Tl3In2Hg4Bi2 crystal. The functional is PBE.

Its formation energy is 0.015 eV/atom. The uncorrected energy is -1.9438 eV/atom.

The space group is P-3m1 (No. 164) and the conventional cell measures 5.3795, 5.3795 and 13.4239 Å, with angles of 90.00, 90.00 and 120.00 degrees. The inequivalent atoms are Tl at (0.0000, 0.0000, 0.0000), Tl at (0.0000, 0.0000, 0.2703), In at (0.3333, 0.6667, 0.5904), Hg at (0.3333, 0.6667, 0.3721), Hg at (0.3333, 0.6667, 0.8738) and Bi at (0.3333, 0.6667, 0.1394).